Material: CsYBe2Cl8
Method: DFT, PBE-GGA
State: relaxed

## Properties
Space-group type: No. 148
Raw formation energy, kJ per mole of atoms: -174.7
Calculated density, g cm⁻³: 2.49

a = 10.872 Å, b = 10.872 Å, c = 10.872 Å
α = 33.53°, β = 33.53°, γ = 33.53°
Element x y z (fractional)
Cs: 0.000 0.000 0.000
Y: 0.500 0.500 0.500
Be: 0.241 0.241 0.241
Be: 0.759 0.759 0.759
Cl: 0.094 0.474 0.778
Cl: 0.222 0.906 0.526
Cl: 0.305 0.305 0.305
Cl: 0.474 0.778 0.094
Cl: 0.526 0.222 0.906
Cl: 0.695 0.695 0.695
Cl: 0.778 0.094 0.474
Cl: 0.906 0.526 0.222